w.
Density functional theory data (PBE) for a relaxed BaLi3Ag2 crystal.

Cell and atoms, written as extended XYZ:
```
12
Lattice="4.4965 0.0000 0.0000 -2.2483 8.4110 0.0895 0.0000 -3.7137 7.7567" Properties=species:S:1:pos:R:3 pbc="T T T"
Ag 0.0000 4.9918 6.4374
Ag 2.2483 4.0695 2.5708
Ag 0.0000 0.6278 5.2754
Ag 2.2483 -0.2945 1.4088
Ba 0.0000 2.2620 0.4933
Ba 2.2483 2.4353 7.3528
Li 0.0000 5.6868 2.7663
Li 2.2483 1.4337 3.6154
Li 0.0000 3.2635 4.2307
Li 0.0000 -0.6809 2.9520
Li 2.2483 5.3781 4.8942
Li 2.2483 -0.9895 5.0799
```

calculated density	4211	kg/m³

=====

x.
Density functional theory data (PBE) for a relaxed BaLi3Ag2 crystal.

Cell and atoms, written as extended XYZ:
```
18
Lattice="4.4533 0.0000 0.0000 0.0000 9.2165 -5.3211 0.0000 0.0000 10.6423" Properties=species:S:1:pos:R:3 pbc="T T T"
Li 0.0000 6.4773 3.7396
Li 0.0000 2.7392 1.5815
Li 2.2267 0.0000 5.3211
Li 0.0000 0.0000 7.4793
Li 0.0000 2.7392 -1.5815
Li 0.0000 6.4773 -3.7396
Li 0.0000 0.0000 3.1630
Li 2.2267 4.6082 2.6606
Li 2.2267 4.6082 -2.6606
Ag 2.2267 1.7039 2.9513
Ag 2.2267 7.5125 -2.3698
Ag 2.2267 3.4079 0.0000
Ag 2.2267 5.8086 5.3211
Ag 2.2267 7.5125 2.3698
Ag 2.2267 1.7039 7.6909
Ba 0.0000 3.0722 5.3211
Ba 0.0000 6.1443 0.0000
Ba 2.2267 0.0000 0.0000
```

calculated density	4264	kg/m³

=====

Stability ranking, top and bottom: x is the most stable and w is the least stable.